[1]
{"formula": "Pm6PrDyTm2", "functional": "PBE", "state": "relaxed", "e_form_ev_per_fu": 1.15, "e_tot_ev_per_fu": -45.68, "magnetic_moment_mub_per_fu": 0.0, "lattice_angstrom": [[4.666, -7.576, 0.000], [4.666, 7.576, 0.000], [-1.086, 0.000, 9.540]], "species": ["Pm", "Pm", "Pm", "Pm", "Pm", "Pm", "Pm", "Pm", "Pm", "Pm", "Pm", "Pm", "Pr", "Pr", "Dy", "Dy", "Tm", "Tm", "Tm", "Tm"], "fractional_positions": [[0.008, 0.558, 0.183], [0.113, 0.759, 0.556], [0.241, 0.887, 0.944], [0.294, 0.517, 0.383], [0.442, 0.992, 0.317], [0.483, 0.706, 0.117], [0.517, 0.294, 0.883], [0.558, 0.008, 0.683], [0.706, 0.483, 0.617], [0.759, 0.113, 0.056], [0.887, 0.241, 0.444], [0.992, 0.442, 0.817], [0.032, 0.968, 0.250], [0.968, 0.032, 0.750], [0.411, 0.589, 0.750], [0.589, 0.411, 0.250], [0.203, 0.301, 0.050], [0.301, 0.203, 0.550], [0.699, 0.797, 0.450], [0.797, 0.699, 0.950]]}

=====

[2]
{"formula": "PmPr6Dy2Tm3", "functional": "PBE", "state": "relaxed", "e_form_ev_per_fu": 0.17, "e_tot_ev_per_fu": -55.87, "magnetic_moment_mub_per_fu": 0.0, "lattice_angstrom": [[3.150, -5.456, 0.000], [3.150, 5.456, 0.000], [-2.096, 0.000, 11.685]], "species": ["Pm", "Pr", "Pr", "Pr", "Pr", "Pr", "Pr", "Dy", "Dy", "Tm", "Tm", "Tm"], "fractional_positions": [[0.000, 0.000, 0.000], [0.084, 0.418, 0.253], [0.249, 0.249, 0.747], [0.418, 0.084, 0.253], [0.582, 0.916, 0.747], [0.751, 0.751, 0.253], [0.916, 0.582, 0.747], [0.333, 0.667, 0.000], [0.667, 0.333, 0.000], [0.167, 0.833, 0.500], [0.500, 0.500, 0.500], [0.833, 0.167, 0.500]]}

=====

[3]
{"formula": "Pm2Pr3DyTm6", "functional": "PBE", "state": "relaxed", "e_form_ev_per_fu": 0.23, "e_tot_ev_per_fu": -55.04, "magnetic_moment_mub_per_fu": 0.0, "lattice_angstrom": [[3.106, -5.379, 0.000], [3.106, 5.379, 0.000], [-2.064, 0.000, 11.543]], "species": ["Pm", "Pm", "Pr", "Pr", "Pr", "Dy", "Tm", "Tm", "Tm", "Tm", "Tm", "Tm"], "fractional_positions": [[0.166, 0.834, 0.000], [0.834, 0.166, 0.000], [0.000, 0.000, 0.500], [0.333, 0.667, 0.500], [0.667, 0.333, 0.500], [0.500, 0.500, 0.000], [0.084, 0.417, 0.752], [0.250, 0.250, 0.248], [0.417, 0.084, 0.752], [0.583, 0.916, 0.248], [0.750, 0.750, 0.752], [0.916, 0.583, 0.248]]}

=====

[4]
{"formula": "PmPrDy2Tm4", "functional": "PBE", "state": "relaxed", "e_form_ev_per_fu": 3.46, "e_tot_ev_per_fu": -33.16, "magnetic_moment_mub_per_fu": 2.4, "lattice_angstrom": [[6.782, -6.614, 0.000], [6.782, 6.614, 0.000], [-3.387, 0.000, 5.872]], "species": ["Pm", "Pm", "Pr", "Pr", "Dy", "Dy", "Dy", "Dy", "Tm", "Tm", "Tm", "Tm", "Tm", "Tm", "Tm", "Tm"], "fractional_positions": [[0.000, 0.500, 0.000], [0.500, 0.000, 0.500], [0.000, 0.000, 0.000], [0.000, 0.000, 0.500], [0.000, 0.500, 0.500], [0.500, 0.000, 0.000], [0.500, 0.500, 0.000], [0.500, 0.500, 0.500], [0.252, 0.255, 0.505], [0.253, 0.747, 0.501], [0.253, 0.747, 0.999], [0.255, 0.252, 0.005], [0.745, 0.748, 0.995], [0.747, 0.253, 0.001], [0.747, 0.253, 0.499], [0.748, 0.745, 0.495]]}